Record 1
{"formula": "YNb2Cr", "functional": "PBE", "state": "optimized geometry", "lattice_angstrom": [[0.000, 3.324, 3.324], [3.324, 0.000, 3.324], [3.324, 3.324, 0.000]], "species": ["Y", "Nb", "Nb", "Cr"], "frac_coords": [[0.000, 0.000, 0.000], [0.250, 0.250, 0.250], [0.750, 0.750, 0.750], [0.500, 0.500, 0.500]], "de_polymorph_ev_per_atom": 0.000, "sg": "Fm-3m (225)"}



Record 2
{"formula": "YNb2Cr", "functional": "PBE", "state": "optimized geometry", "lattice_angstrom": [[-2.412, 2.412, 8.918], [2.412, -2.412, 8.918], [2.412, 2.412, -8.918]], "species": ["Y", "Y", "Nb", "Nb", "Nb", "Nb", "Cr", "Cr"], "frac_coords": [[0.375, 0.625, 0.750], [0.625, 0.375, 0.250], [0.000, 0.000, 0.000], [0.000, 0.000, 0.500], [0.000, 0.500, 0.000], [0.500, 0.000, 0.500], [0.125, 0.875, 0.250], [0.875, 0.125, 0.750]], "de_polymorph_ev_per_atom": 0.649, "sg": "I4_1/amd (141)"}



Record 3
{"formula": "YNbCr2", "functional": "PBE", "state": "optimized geometry", "lattice_angstrom": [[-2.266, 2.266, 8.582], [2.266, -2.266, 8.582], [2.266, 2.266, -8.582]], "species": ["Y", "Y", "Nb", "Nb", "Cr", "Cr", "Cr", "Cr"], "frac_coords": [[0.375, 0.625, 0.750], [0.625, 0.375, 0.250], [0.125, 0.875, 0.250], [0.875, 0.125, 0.750], [0.000, 0.000, 0.000], [0.000, 0.000, 0.500], [0.000, 0.500, 0.000], [0.500, 0.000, 0.500]], "de_polymorph_ev_per_atom": 0.567, "sg": "I4_1/amd (141)"}



Record 4
{"formula": "Y3NbCr", "functional": "PBE", "state": "optimized geometry", "lattice_angstrom": [[5.113, 0.000, 0.000], [0.000, 5.113, 0.000], [0.000, 0.000, 5.113]], "species": ["Y", "Y", "Y", "Nb", "Cr"], "frac_coords": [[0.000, 0.000, 0.500], [0.000, 0.500, 0.000], [0.500, 0.000, 0.000], [0.500, 0.500, 0.500], [0.000, 0.000, 0.000]], "de_polymorph_ev_per_atom": 0.054, "sg": "Pm-3m (221)"}



Number 1: spin magnetization 0.00 μB/cell, total energy -8.541 eV per atom, E_form 49.8 kJ per mole of atoms. Number 2: spin magnetization 3.24 μB/cell, total energy -7.892 eV per atom, E_form 112.4 kJ per mole of atoms. Number 3: spin magnetization 3.53 μB/cell, total energy -7.950 eV per atom, E_form 96.0 kJ per mole of atoms. Number 4: spin magnetization 0.52 μB/cell, total energy -6.876 eV per atom, E_form 90.8 kJ per mole of atoms.